Below is AcPm4Ho2Tm after structural relaxation, with properties calculated at the GGA-PBE level.

Cell lengths 5.9122, 5.9122, 7.8720 Å; angles 90.00, 90.00, 90.00 degrees
Last column: nearest neighbours and their distance in Å.
Space group P4/mmm (No. 123)
One atom of each set of equivalent atoms:
Ac 0.0000 0.0000 0.0000  8 Pm 3.65, 2 Ho 3.94
Pm 0.0000 0.5000 0.2729  4 Ho 3.45-3.65, 2 Tm 3.45, 1 Pm 3.57, 2 Ac 3.65
Ho 0.0000 0.0000 0.5000  8 Pm 3.45
Ho 0.5000 0.5000 0.0000  8 Pm 3.65, 2 Tm 3.94
Tm 0.5000 0.5000 0.5000  8 Pm 3.45

Calculated density (Mg/m³): 7.880
ΔH_f (0 K) (kJ/mol of atoms): 12

=====

Below is Li2ScAu after structural relaxation, with properties calculated at the GGA-PBE level.

Cell lengths 4.0133, 4.0133, 8.7683 Å; angles 90.00, 90.00, 90.00 degrees
Last column: nearest neighbours and their distance in Å.
Space group I4/mmm (No. 139)
One atom of each set of equivalent atoms:
Li 0.0000 0.5000 0.2500  4 Li 2.84, 4 Au 2.97, 4 Sc 2.97
Sc 0.0000 0.0000 0.0000  4 Au 2.84, 8 Li 2.97
Au 0.0000 0.0000 0.5000  4 Sc 2.84, 8 Li 2.97

Calculated density (Mg/m³): 6.016
ΔH_f (0 K) (kJ/mol of atoms): -33

=====

Below is Li2Ag8Sn3 after structural relaxation, with properties calculated at the GGA-PBE level.

Cell lengths 5.5111, 5.5111, 30.5720 Å; angles 90.00, 90.00, 120.00 degrees
Last column: nearest neighbours and their distance in Å.
Space group R-3m (No. 166, hexagonal axes)
One atom of each set of equivalent atoms:
Li 0.0000 0.0000 0.1412  4 Ag 2.53-2.71
Ag 0.0000 0.0000 0.2240  1 Li 2.53, 1 Sn 2.83
Ag 0.9995 0.4998 0.2639  1 Li 2.71, 6 Ag 2.75-3.01
Sn 0.0000 0.0000 0.3168  4 Ag 2.83-3.07
Sn 0.0000 0.0000 0.5000  6 Li 3.28, 12 Ag 3.37-3.63

Calculated density (Mg/m³): 7.638
ΔH_f (0 K) (kJ/mol of atoms): 4

=====

Below is SmFeC after structural relaxation, with properties calculated at the GGA-PBE level.

Cell lengths 3.6575, 5.8030, 8.9419 Å; angles 90.00, 90.00, 90.00 degrees
Last column: nearest neighbours and their distance in Å.
Space group P2_12_12_1 (No. 19)
One atom of each set of equivalent atoms:
Sm 0.2502 0.1862 0.1730  2 C 2.52-2.53
Fe 0.2490 0.6295 0.0389  3 C 1.87-1.93
C 0.2489 0.9285 0.9443  3 Fe 1.87-1.93

Calculated density (Mg/m³): 7.637
ΔH_f (0 K) (kJ/mol of atoms): -21

=====

Below is Ba2ScSe after structural relaxation, with properties calculated at the GGA-PBE level.

Cell lengths 11.9079, 11.9079, 5.1515 Å; angles 90.00, 90.00, 90.00 degrees
Last column: nearest neighbours and their distance in Å.
Space group I-42d (No. 122)
One atom of each set of equivalent atoms:
Ba 0.1036 0.2500 0.1250  2 Se 3.29
Sc 0.0000 0.0000 0.5000  2 Se 2.58
Se 0.0000 0.0000 0.0000  2 Sc 2.58

VASP energy (eV/atom): -3.969
Calculated density (Mg/m³): 3.624

=====

Below is CdFe2Ni after structural relaxation, with properties calculated at the GGA-PBE level.

Cell lengths 3.9000, 3.9000, 7.1427 Å; angles 90.00, 90.00, 90.00 degrees
Last column: nearest neighbours and their distance in Å.
Space group I-4m2 (No. 119)
One atom of each set of equivalent atoms:
Cd 0.0000 0.0000 0.0000  8 Fe 2.64-2.76, 4 Ni 2.64
Fe 0.0000 0.0000 0.5000  4 Fe 2.64, 4 Ni 2.64, 4 Cd 2.76
Fe 0.0000 0.5000 0.7500  4 Cd 2.64, 4 Fe 2.64, 4 Ni 2.76
Ni 0.0000 0.5000 0.2500  4 Cd 2.64, 8 Fe 2.64-2.76

Calculated density (Mg/m³): 8.645
ΔH_f (0 K) (kJ/mol of atoms): 25

=====

Number 1: N(E_F) 2.1007 states/eV per atom. Number 2: N(E_F) 0.3604 states/eV per atom. Number 3: N(E_F) 0.4447 states/eV per atom. Number 4: N(E_F) 0.5552 states/eV per atom. Number 5: N(E_F) 0.9488 states/eV per atom. Number 6: N(E_F) 1.4719 states/eV per atom.